12
Lattice="-3.150 -0.195 7.429 4.242 0.072 1.800 -0.271 11.385 0.184" Properties=species:S:1:pos:R:3 comment="KMgAs, relaxed, DFT PBE" m_tot_mub_per_cell=0.00 formation_enthalpy_0k_ev_per_atom=-0.471 space_group="Pnma (62)" pbc="T T T"
K -1.830 3.976 7.103
K 1.015 9.758 6.067
K 2.651 7.286 2.310
K -0.194 1.505 3.347
Mg 1.678 4.862 4.702
Mg -0.856 6.400 4.712
Mg 0.200 0.669 8.351
Mg 0.621 10.593 1.063
As 0.793 6.378 6.727
As 2.269 10.629 3.079
As 0.029 4.884 2.687
As -1.447 0.634 6.335